Density functional theory data (GGA-PBE) for an optimized crystal structure of Hf2PIr2.

Results
- uncorrected energy (eV/cell) = -92.00
- ΔE_f (meV per atom) = -592
- DOS(E_F) (states/eV per cell) = 3.81

a = 7.590 Å, b = 7.590 Å, c = 3.132 Å
α = 90.00°, β = 90.00°, γ = 90.00°
Space group P4/mbm (No. 127)
Symmetry-distinct sites (fractional):
1 Hf 0.162 0.338 0.000
2 P 0.000 0.000 0.500
3 Ir 0.133 0.633 0.500

=====

Density functional theory data (GGA-PBE) for an optimized crystal structure of TiBe17Ru.

Results
- uncorrected energy (eV/cell) = -252.44
- ΔE_f (meV per atom) = -191
- DOS(E_F) (states/eV per cell) = 10.89

a = 7.2812 Å, b = 7.2812 Å, c = 10.6286 Å
α = 90.00°, β = 90.00°, γ = 120.00°
Space group R3m (No. 160, hexagonal axes)
Symmetry-distinct sites (fractional):
1 Ti 0.0000 0.0000 0.0000
2 Be 0.0000 0.0000 0.5585
3 Be 0.0000 0.0000 0.7584
4 Be 0.0352 0.3641 0.3275
5 Be 0.1685 0.3371 0.1450
6 Be 0.1712 0.3423 0.4962
7 Be 0.1733 0.3466 0.8391
8 Ru 0.0000 0.0000 0.3256

=====

Density functional theory data (GGA-PBE) for an optimized crystal structure of RbAg2RuO.

Results
- uncorrected energy (eV/cell) = -16.96
- DOS(E_F) (states/eV per cell) = 4.66
- formation energy without anion corrections (eV per atom) = 0.79

a = 4.488 Å, b = 4.488 Å, c = 5.234 Å
α = 90.00°, β = 90.00°, γ = 90.00°
Space group P4/mmm (No. 123)
Symmetry-distinct sites (fractional):
1 Rb 0.000 0.000 0.000
2 Ag 0.000 0.500 0.500
3 Ru 0.500 0.500 0.000
4 O 0.000 0.000 0.500

=====

Density functional theory data (GGA-PBE) for an optimized crystal structure of Na2HfCo2.

Results
- uncorrected energy (eV/cell) = -43.12
- ΔE_f (meV per atom) = 1049
- energy above the lowest structure with this stoichiometry (meV/atom) = 189
- DOS(E_F) (states/eV per cell) = 6.84

a = 4.561 Å, b = 4.561 Å, c = 8.012 Å
α = 90.00°, β = 90.00°, γ = 90.00°
Space group I4/mmm (No. 139)
Symmetry-distinct sites (fractional):
1 Na 0.000 0.000 0.129
2 Hf 0.000 0.000 0.500
3 Co 0.000 0.500 0.250

=====

Density functional theory data (GGA-PBE) for an optimized crystal structure of NaTh4Te8.

Results
- uncorrected energy (eV/cell) = -141.79
- DOS(E_F) (states/eV per cell) = 13.92
- formation energy without anion corrections (eV per atom) = -1.14

a = 15.472 Å, b = 8.945 Å, c = 10.974 Å
α = 90.00°, β = 134.29°, γ = 90.00°
Space group C2/m (No. 12)
Symmetry-distinct sites (fractional):
1 Na 0.000 0.000 0.000
2 Th 0.000 0.253 0.500
3 Th 0.243 0.500 0.487
4 Te 0.027 0.000 0.726
5 Te 0.036 0.500 0.737
6 Te 0.218 0.244 0.267

=====

Density functional theory data (GGA-PBE) for an optimized crystal structure of AcPmReO6.

Results
- uncorrected energy (eV/cell) = -74.20
- DOS(E_F) (states/eV per cell) = 5.34
- formation energy without anion corrections (eV per atom) = -2.57

a = 5.6789 Å, b = 5.6789 Å, c = 5.2260 Å
α = 90.00°, β = 90.00°, γ = 120.00°
Space group P312 (No. 149)
Symmetry-distinct sites (fractional):
1 Ac 0.0000 0.0000 0.0000
2 Pm 0.3333 0.6667 0.5000
3 Re 0.6667 0.3333 0.5000
4 O 0.3844 0.0505 0.7122

=====

Density functional theory data (GGA-PBE) for an optimized crystal structure of In3Te5.

Results
- uncorrected energy (eV/cell) = -49.28
- energy above the lowest structure with this stoichiometry (meV/atom) = 0
- DOS(E_F) (states/eV per cell) = 9.01
- formation energy without anion corrections (eV per atom) = -0.09

a = 7.433 Å, b = 7.978 Å, c = 9.510 Å
α = 90.00°, β = 104.02°, γ = 90.00°
Space group P2_1/m (No. 11)
Symmetry-distinct sites (fractional):
1 In 0.001 0.250 0.485
2 In 0.221 0.750 0.097
3 In 0.485 0.750 0.554
4 Te 0.197 0.250 0.014
5 Te 0.217 0.508 0.362
6 Te 0.299 0.750 0.783
7 Te 0.330 0.250 0.769

=====

Density functional theory data (GGA-PBE) for an optimized crystal structure of MgCrIn2.

Results
- uncorrected energy (eV/cell) = -15.93
- ΔE_f (meV per atom) = 190
- DOS(E_F) (states/eV per cell) = 1.94

a = 3.234 Å, b = 4.963 Å, c = 5.181 Å
α = 90.00°, β = 90.00°, γ = 90.00°
Space group Pmm2 (No. 25)
Symmetry-distinct sites (fractional):
1 Mg 0.000 0.000 0.000
2 Cr 0.000 0.500 0.648
3 In 0.500 0.000 0.516
4 In 0.500 0.500 0.139

=====

Density functional theory data (GGA-PBE) for an optimized crystal structure of VNiGe.

Results
- uncorrected energy (eV/cell) = -81.23
- ΔE_f (meV per atom) = -263
- DOS(E_F) (states/eV per cell) = 9.78

a = 4.012 Å, b = 5.143 Å, c = 7.509 Å
α = 90.00°, β = 90.00°, γ = 90.00°
Space group Immm (No. 71)
Symmetry-distinct sites (fractional):
1 V 0.000 0.242 0.000
2 Ni 0.000 0.000 0.342
3 Ge 0.000 0.500 0.321

=====

Density functional theory data (GGA-PBE) for an optimized crystal structure of TbNpSn2.

Results
- uncorrected energy (eV/cell) = -74.73
- ΔE_f (meV per atom) = 166
- energy above the lowest structure with this stoichiometry (meV/atom) = 423
- DOS(E_F) (states/eV per cell) = 22.12

a = 3.2873 Å, b = 3.2873 Å, c = 35.5112 Å
α = 90.00°, β = 90.00°, γ = 120.00°
Space group R-3m (No. 166, hexagonal axes)
Symmetry-distinct sites (fractional):
1 Tb 0.0000 0.0000 0.0000
2 Np 0.0000 0.0000 0.5000
3 Sn 0.0000 0.0000 0.0885